Record 1
Below is CoOs3 at its PBEsol-relaxed geometry, with properties calculated at the meta-GGA SCAN level.

POSCAR file:
```
CoOs3
1.0
-2.4060 0.5078 1.1152
0.1643 -1.5353 -2.2150
0.7754 -6.7929 4.7659
Os Co
3 1
direct
0.0000 0.0000 0.5000
0.6667 0.3333 0.7580
0.6667 0.3333 0.2420
0.0000 0.0000 0.0000
```

Values from the calculation:
Uncorrected energy: -58.115 eV/atom
Formation energy from the elements: 0.1210 eV/atom
SG: P-6m2

---

Record 2
Below is Dy6AgGe2S14 at its PBEsol-relaxed geometry, with properties calculated at the meta-GGA SCAN level.

POSCAR file:
```
Dy6AgGe2S14
1.0
5.6290 0.0000 0.0000
0.0000 9.7442 0.0000
0.0000 -4.8721 8.4387
Dy S Ge Ag
6 14 2 1
direct
0.7603 0.8707 0.2265
0.7603 0.7735 0.6442
0.2610 0.1306 0.7748
0.2610 0.6442 0.8694
0.2610 0.2252 0.3558
0.7603 0.3558 0.1293
0.0189 0.5158 0.4200
0.2854 0.2623 0.0990
0.0189 0.5800 0.0958
0.5147 0.4834 0.5792
0.7781 0.7388 0.9047
0.2854 0.8367 0.7377
0.0650 0.3333 0.6667
0.7781 0.0953 0.8341
0.5700 0.6667 0.3333
0.5147 0.4208 0.9042
0.7781 0.1659 0.2612
0.0189 0.9042 0.4842
0.5147 0.0958 0.5166
0.2854 0.9010 0.1633
0.1837 0.6667 0.3333
0.6782 0.3333 0.6667
0.5289 0.0000 0.0000
```

Values from the calculation:
Uncorrected energy: -22.974 eV/atom
SG: P3

---

Record 3
Below is KPd2Au2 at its PBEsol-relaxed geometry, with properties calculated at the meta-GGA SCAN level.

POSCAR file:
```
KPd2Au2
1.0
-0.6006 2.2171 -1.5793
-7.8171 -0.5364 2.2197
1.4616 4.9070 6.3330
Pd Au K
4 4 2
direct
0.0000 0.3810 0.8810
0.0000 0.6190 0.1190
0.0000 0.1190 0.3810
0.0000 0.8810 0.6190
0.5000 0.8245 0.3245
0.5000 0.6755 0.8245
0.5000 0.1755 0.6755
0.5000 0.3245 0.1755
0.0000 0.5000 0.5000
0.0000 0.0000 0.0000
```

Values from the calculation:
Uncorrected energy: -42.616 eV/atom
Formation energy from the elements: -0.1781 eV/atom
Relative energy among the computed polymorphs: 0.0 meV per atom
SG: P4/mbm

---

Record 4
Below is Hf2InRh2 at its PBEsol-relaxed geometry, with properties calculated at the meta-GGA SCAN level.

POSCAR file:
```
Hf2InRh2
1.0
4.3945 0.0000 0.0000
0.0000 4.3945 0.0000
-2.1973 -2.1973 5.2229
Rh Hf In
2 2 1
direct
0.3825 0.3825 0.7650
0.6175 0.6175 0.2350
0.7500 0.2500 0.5000
0.2500 0.7500 0.5000
0.0000 0.0000 0.0000
```

Values from the calculation:
Uncorrected energy: -45.857 eV/atom
Formation energy from the elements: -0.6023 eV/atom
SG: I4/mmm

---

Record 5
Below is LiMgTe at its PBEsol-relaxed geometry, with properties calculated at the meta-GGA SCAN level.

POSCAR file:
```
LiMgTe
1.0
-2.0954 2.5433 2.8170
-3.6763 -0.5328 -2.2535
0.9930 -2.7457 3.2175
Mg Li Te
1 1 1
direct
0.6532 0.3333 0.6667
0.0814 0.0000 0.0000
0.2655 0.6667 0.3333
```

Values from the calculation:
Uncorrected energy: -15.347 eV/atom
SG: P3m1

---

Record 6
Below is SrMgSbPd2 at its PBEsol-relaxed geometry, with properties calculated at the meta-GGA SCAN level.

POSCAR file:
```
SrMgSbPd2
1.0
-2.7170 -2.8048 -3.1742
1.7865 -4.1780 2.1626
-4.5388 0.0481 3.8425
Pd Sr Sb Mg
2 1 1 1
direct
0.5000 0.0000 0.0000
0.0000 0.5000 0.0000
0.0000 0.0000 0.0000
0.0000 0.0000 0.5000
0.5000 0.5000 0.5000
```

Values from the calculation:
Uncorrected energy: -25.199 eV/atom
SG: P4/mmm

---

Record 7
Below is LiSiB6 at its PBEsol-relaxed geometry, with properties calculated at the meta-GGA SCAN level.

POSCAR file:
```
LiSiB6
1.0
6.0778 0.0000 0.0000
-3.0389 5.4809 0.0000
0.0000 0.0000 8.4030
B Li Si
24 4 4
direct
0.3992 0.7984 0.8497
0.1980 0.0783 0.6659
0.1197 0.9217 0.3341
0.3803 0.0783 0.8341
0.1517 0.3035 0.5563
0.8444 0.1583 0.4687
0.6861 0.8417 0.5313
0.8020 0.9217 0.3341
0.3483 0.6965 0.0563
0.8483 0.6965 0.4437
0.6008 0.2016 0.1503
0.8139 0.1583 0.0313
0.3444 0.1583 0.0313
0.1556 0.8417 0.5313
0.6517 0.3035 0.9437
0.6556 0.8417 0.9687
0.1861 0.8417 0.9687
0.8803 0.0783 0.6659
0.3139 0.1583 0.4687
0.3020 0.9217 0.1659
0.6197 0.9217 0.1659
0.1008 0.2016 0.3497
0.6980 0.0783 0.8341
0.8992 0.7984 0.6503
0.6741 0.3481 0.6597
0.3259 0.6519 0.3403
0.8259 0.6519 0.1597
0.1741 0.3481 0.8403
0.3337 0.6675 0.6210
0.1663 0.3325 0.1210
0.6663 0.3325 0.3790
0.8337 0.6675 0.8790
```

Values from the calculation:
Uncorrected energy: -7.365 eV/atom
SG: Cmce

---

Record 8
Below is ZrMn2Cu at its PBEsol-relaxed geometry, with properties calculated at the meta-GGA SCAN level.

POSCAR file:
```
ZrMn2Cu
1.0
-1.2500 -2.4248 -1.1044
1.4440 -1.8424 2.4107
-4.5786 0.8243 3.3725
Mn Zr Cu
2 1 1
direct
0.0000 0.0000 0.7258
0.0000 0.0000 0.2742
0.5000 0.5000 0.0000
0.5000 0.5000 0.5000
```

Values from the calculation:
Uncorrected energy: -20.627 eV/atom
Formation energy from the elements: -0.0252 eV/atom
SG: Pmmm

---

Record 9
Below is Al3IF at its PBEsol-relaxed geometry, with properties calculated at the meta-GGA SCAN level.

POSCAR file:
```
Al3IF
1.0
5.9817 0.0000 0.0000
0.0000 5.9817 0.0000
0.0000 0.0000 5.9817
Al F I
3 1 1
direct
0.0000 0.0000 0.5000
0.0000 0.5000 0.0000
0.5000 0.0000 0.0000
0.5000 0.5000 0.5000
0.0000 0.0000 0.0000
```

Values from the calculation:
Uncorrected energy: -11.807 eV/atom
SG: Pm-3m

---

Record 10
Below is Mn2TlAuI at its PBEsol-relaxed geometry, with properties calculated at the meta-GGA SCAN level.

POSCAR file:
```
Mn2TlAuI
1.0
5.1357 0.0000 0.0000
0.0000 5.1357 0.0000
0.0000 0.0000 5.9528
Mn I Au Tl
2 1 1 1
direct
0.0000 0.5000 0.0000
0.5000 0.0000 0.0000
0.0000 0.0000 0.5000
0.5000 0.5000 0.5000
0.0000 0.0000 0.0000
```

Values from the calculation:
Uncorrected energy: -42.107 eV/atom
SG: P4/mmm

---

Record 11
Below is TaBeNb3 at its PBEsol-relaxed geometry, with properties calculated at the meta-GGA SCAN level.

POSCAR file:
```
TaBeNb3
1.0
4.4110 0.0000 0.0000
0.0000 4.4110 0.0000
0.0000 0.0000 4.4110
Nb Ta Be
3 1 1
direct
0.5000 0.0000 0.0000
0.0000 0.0000 0.5000
0.0000 0.5000 0.0000
0.5000 0.5000 0.5000
0.0000 0.0000 0.0000
```

Values from the calculation:
Uncorrected energy: -33.464 eV/atom
Formation energy from the elements: 0.6009 eV/atom
SG: Pm-3m

---

Record 12
Below is HfZr3H at its PBEsol-relaxed geometry, with properties calculated at the meta-GGA SCAN level.

POSCAR file:
```
HfZr3H
1.0
-3.5653 -1.7906 -2.0196
-1.7635 -0.9875 3.9889
-2.0432 3.9768 0.0812
Zr Hf H
3 1 1
direct
0.0000 0.5000 0.0000
0.0000 0.0000 0.5000
0.5000 0.0000 0.0000
0.5000 0.5000 0.5000
0.0000 0.0000 0.0000
```

Values from the calculation:
Uncorrected energy: -31.749 eV/atom
Relative energy among the computed polymorphs: 0.0 meV per atom
SG: Pm-3m